# 1
Entry from the Alexandria database: crystalline NbZnRh2 at its relaxed geometry (PBE-GGA).

POSCAR file:
```
NbZnRh2
1.0
2.854 0.000 0.000
1.427 2.472 0.000
1.427 0.824 8.641
Nb Zn Rh
1 1 2
direct
0.667 0.667 0.000 Nb
0.500 0.500 0.500 Zn
0.086 0.086 0.743 Rh
0.248 0.248 0.256 Rh
```

---

# 2
Entry from the Alexandria database: crystalline Nb2ZnRh at its relaxed geometry (PBE-GGA).

POSCAR file:
```
Nb2ZnRh
1.0
2.821 -0.423 0.000
-1.967 5.878 0.000
0.000 0.000 4.081
Nb Zn Rh
2 1 1
direct
0.997 0.996 0.000 Nb
0.503 0.504 0.000 Nb
0.750 0.250 0.500 Zn
0.250 0.750 0.500 Rh
```

---

# 3
Entry from the Alexandria database: crystalline NbZnRh4 at its relaxed geometry (PBE-GGA).

POSCAR file:
```
NbZnRh4
1.0
-1.557 0.237 -3.840
1.213 -3.905 -0.733
-5.229 -2.002 1.994
Nb Zn Rh
1 1 4
direct
0.501 0.497 0.998 Nb
0.001 0.997 0.498 Zn
0.501 0.997 0.252 Rh
0.501 0.997 0.744 Rh
0.001 0.497 0.744 Rh
0.001 0.498 0.253 Rh
```

---

Number 1: calculated formation energy -6.5 kcal/mol of atoms, DOS(E_F) 0.763 states/eV per atom. Number 2: calculated formation energy -6.2 kcal/mol of atoms, DOS(E_F) 0.491 states/eV per atom. Number 3: calculated formation energy 1.3 kcal/mol of atoms, DOS(E_F) 1.390 states/eV per atom.